VASP calculation (GGA+U) on CaNiPdO4 after structural relaxation.

Structure (POSCAR):
```
CaNiPdO4
1.0
6.161 0.000 0.000
-3.080 5.569 -0.263
0.000 -3.241 5.329
Ni O Ca Pd
2 8 2 2
Cartesian
1.540 1.164 2.533 Ni
-1.540 1.164 2.533 Ni
3.080 1.652 1.209 O
1.325 3.019 3.661 O
0.000 2.116 1.491 O
3.080 0.213 3.575 O
1.755 -0.690 1.405 O
0.000 0.677 3.857 O
4.406 -0.690 1.405 O
-1.325 3.019 3.661 O
3.080 3.667 0.405 Ca
0.000 -1.339 4.661 Ca
3.080 0.000 0.000 Pd
3.080 -1.620 2.665 Pd
```

Properties
volume = 12.69 A^3/atom
calculated total energy = -77.91 eV per cell